(1)
Compound: DyBiP
Source: the Alexandria database
Functional: PBE
Structure: optimized geometry

Cell lengths 10.402, 10.402, 10.402 Å; angles 25.94, 25.94, 25.94 degrees
Positions (direct):
Dy: 0.122 0.122 0.122
Dy: 0.878 0.878 0.878
Bi: 0.361 0.361 0.361
Bi: 0.639 0.639 0.639
P: 0.213 0.213 0.213
P: 0.787 0.787 0.787

Space-group type: No. 166
Volume in Å³ per atom: 31.62
Formation energy from the elements in eV per atom: -0.644
Size of the total moment in μB per formula unit: 0.00
Total DFT energy (no corrections) in eV for the cell shown: -31.6

***

(2)
Compound: Dy5BiP6
Source: the Alexandria database
Functional: PBE
Structure: optimized geometry

Cell lengths 6.999, 6.999, 6.994 Å; angles 99.60, 99.60, 120.02 degrees
Positions (direct):
Dy: 0.000 0.000 0.000
Dy: 0.167 0.833 0.500
Dy: 0.335 0.665 0.000
Dy: 0.665 0.335 0.000
Dy: 0.833 0.167 0.500
Bi: 0.500 0.500 0.500
P: 0.076 0.415 0.247
P: 0.245 0.245 0.755
P: 0.415 0.076 0.247
P: 0.585 0.924 0.753
P: 0.755 0.755 0.245
P: 0.924 0.585 0.753

Space-group type: No. 12
Volume in Å³ per atom: 23.31
DOS(E_F) in states/eV/cell: 0.76
Formation energy from the elements in eV per atom: -1.278
Size of the total moment in μB per formula unit: 0.00
Total DFT energy (no corrections) in eV for the cell shown: -74.7

***

Q: The highest formation energy from the elements belongs to which entry?
A: DyBiP

***

What did the first record say?
Compound: DyBiP
Source: the Alexandria database
Functional: PBE
Structure: optimized geometry

Cell lengths 10.402, 10.402, 10.402 Å; angles 25.94, 25.94, 25.94 degrees
Positions (direct):
Dy: 0.122 0.122 0.122
Dy: 0.878 0.878 0.878
Bi: 0.361 0.361 0.361
Bi: 0.639 0.639 0.639
P: 0.213 0.213 0.213
P: 0.787 0.787 0.787

Space-group type: No. 166
Volume in Å³ per atom: 31.62
Formation energy from the elements in eV per atom: -0.644
Size of the total moment in μB per formula unit: 0.00
Total DFT energy (no corrections) in eV for the cell shown: -31.6

***

Q: Which value of size of the total moment does entry 2 give?
A: 0.00 μB per formula unit